ScRh2Se | PBEsol | relaxed

Results
Polymorph energy (0 for the lowest one): 0.03 eV per formula unit
ρ: 8.92 g/cm3
DOS at the Fermi energy: 4.41 states/eV per cell

a b c (Å): 3.4667 4.1090 8.6179
angles (deg): 90.00 90.00 90.00
Last column: nearest neighbours and their distance in Å.
Space group Imm2 (No. 44)
Asymmetric unit:
1 Sc 0.0000 0.0000 0.0000  8 Rh 2.70-2.89, 4 Se 2.83-2.92
2 Rh 0.0000 0.0000 0.4755  2 Se 2.55, 4 Sc 2.70, 2 Rh 2.81
3 Rh 0.0000 0.5000 0.2323  4 Se 2.70, 4 Rh 2.81-2.93, 4 Sc 2.87-2.89
4 Se 0.0000 0.5000 0.7592  6 Rh 2.55-2.70, 2 Sc 2.83

=====

Mn2CdIn | PBEsol | relaxed

Results
ρ: 8.66 g/cm3
DFT total energy: -22.44 eV per cell
DOS at the Fermi energy: 2.95 states/eV per cell

a b c (Å): 4.1016 4.1016 3.8408
angles (deg): 90.00 90.00 90.00
Last column: nearest neighbours and their distance in Å.
Space group P4/mmm (No. 123)
Asymmetric unit:
1 Mn 0.0000 0.5000 0.0000  4 Cd 2.81, 4 In 2.81, 4 Mn 2.90
2 Cd 0.0000 0.0000 0.5000  8 Mn 2.81, 4 In 2.90
3 In 0.5000 0.5000 0.5000  8 Mn 2.81, 4 Cd 2.90

=====

Be2WBr | PBEsol | relaxed

Results
Polymorph energy (0 for the lowest one): 1.11 eV per formula unit
ρ: 8.69 g/cm3
DOS at the Fermi energy: 5.09 states/eV per cell

a b c (Å): 5.1614 7.4076 2.8161
angles (deg): 90.00 90.00 90.00
Last column: nearest neighbours and their distance in Å.
Space group Cmmm (No. 65)
Asymmetric unit:
1 Be 0.2500 0.2500 0.0000  4 Be 2.58-2.82, 4 W 2.66, 4 Br 2.66
2 W 0.0000 0.0000 0.5000  2 Br 2.58, 8 Be 2.66, 2 W 2.82
3 Br 0.0000 0.5000 0.5000  2 W 2.58, 8 Be 2.66, 2 Br 2.82

=====

HgMo2Pt | PBEsol | relaxed

Results
Polymorph energy (0 for the lowest one): 0.00 eV per formula unit
ρ: 15.00 g/cm3
DOS at the Fermi energy: 2.85 states/eV per cell

a b c (Å): 2.7486 2.7486 8.6118
angles (deg): 90.00 90.00 90.00
Last column: nearest neighbours and their distance in Å.
Space group P4mm (No. 99)
Asymmetric unit:
1 Hg 0.0000 0.0000 0.0000  4 Hg 2.75, 4 Mo 3.00, 4 Pt 3.01
2 Mo 0.0000 0.0000 0.5172  4 Pt 2.69, 8 Mo 2.75-2.92
3 Mo 0.5000 0.5000 0.2647  8 Mo 2.75-2.92, 4 Hg 3.00
4 Pt 0.5000 0.5000 0.7338  4 Mo 2.69, 4 Pt 2.75, 4 Hg 3.01